Entry 1:
Compound: ZrWAu2
Source: the Alexandria database
Functional: GGA-PBE
Structure: optimized geometry

Cell lengths 5.2003, 5.2003, 5.2003 Å; angles 133.20, 133.20, 68.34 degrees
Closest atoms and distances in Å follow each position.
Fractional coordinates of all 4 atoms:
W 0.5000 0.5000 0.0000  8 Au 2.92-2.98, 4 Zr 2.98
Au 0.2500 0.7500 0.5000  4 Zr 2.92, 4 Au 2.98, 4 W 2.98
Au 0.0000 0.0000 0.0000  4 W 2.92, 4 Au 2.98, 4 Zr 2.98
Zr 0.7500 0.2500 0.5000  8 Au 2.92-2.98, 4 W 2.98

Output
electronic total energy	-6.88	eV per atom
formation energy from the elements	0.131	eV/atom
offset from the most stable computed form	126	meV per atom
total magnetization	1.68	μB per cell
DOS at the Fermi energy	3.12	states/eV per cell
space-group type	I-4m2 (119)

Entry 2:
Compound: ZrW2Au
Source: the Alexandria database
Functional: GGA-PBE
Structure: optimized geometry

Cell lengths 5.3830, 5.3830, 5.3830 Å; angles 141.51, 131.74, 63.35 degrees
Closest atoms and distances in Å follow each position.
Fractional coordinates of all 4 atoms:
Au 0.7500 0.2500 0.5000  4 Zr 2.83, 8 W 2.94-3.14
W 0.4941 0.4941 0.0000  4 W 2.83, 2 Zr 2.85, 4 Au 2.94-3.14
Zr 0.2500 0.7500 0.5000  4 Au 2.83, 4 W 2.85
W 0.0059 0.0059 0.0000  4 W 2.83, 2 Zr 2.85, 4 Au 2.94-3.14

Output
electronic total energy	-9.20	eV per atom
formation energy from the elements	0.234	eV/atom
offset from the most stable computed form	182	meV per atom
total magnetization	0.00	μB per cell
DOS at the Fermi energy	2.86	states/eV per cell
space-group type	Immm (71)

Entry 3:
Compound: ZrW2Au
Source: the Alexandria database
Functional: GGA-PBE
Structure: optimized geometry

Cell lengths 2.7983, 2.7983, 9.3359 Å; angles 90.00, 90.00, 103.76 degrees
Closest atoms and distances in Å follow each position.
Fractional coordinates of all 4 atoms:
W 0.0000 0.0000 0.9919  4 W 2.80, 2 Au 2.84, 2 Zr 2.96
W 0.0000 0.0000 0.5081  4 W 2.80, 2 Au 2.84, 2 Zr 2.96
Au 0.5000 0.5000 0.7500  4 Au 2.80, 4 W 2.84
Zr 0.5000 0.5000 0.2500  4 Zr 2.80, 4 W 2.96

Output
electronic total energy	-9.13	eV per atom
formation energy from the elements	0.305	eV/atom
offset from the most stable computed form	253	meV per atom
total magnetization	0.00	μB per cell
DOS at the Fermi energy	3.49	states/eV per cell
space-group type	Cmmm (65)

Entry 4:
Compound: ZrW2Au
Source: the Alexandria database
Functional: GGA-PBE
Structure: optimized geometry

Cell lengths 3.4577, 4.4368, 4.6413 Å; angles 90.00, 90.00, 90.00 degrees
Closest atoms and distances in Å follow each position.
Fractional coordinates of all 4 atoms:
W 0.0000 0.0000 0.0000  4 W 2.81, 4 Zr 2.89
Zr 0.5000 0.0000 0.5000  4 Au 2.81, 4 W 2.89
W 0.5000 0.5000 0.0000  4 W 2.81, 4 Au 2.89
Au 0.0000 0.5000 0.5000  4 Zr 2.81, 4 W 2.89

Output
electronic total energy	-9.29	eV per atom
formation energy from the elements	0.142	eV/atom
offset from the most stable computed form	90	meV per atom
total magnetization	0.00	μB per cell
DOS at the Fermi energy	2.84	states/eV per cell
space-group type	Pmmm (47)

Entry 5:
Compound: ZrWAu2
Source: the Alexandria database
Functional: GGA-PBE
Structure: optimized geometry

Cell lengths 2.9374, 2.9374, 8.3707 Å; angles 90.00, 90.00, 90.03 degrees
Closest atoms and distances in Å follow each position.
Fractional coordinates of all 4 atoms:
Au 0.0000 0.0000 0.4875  4 W 2.87-2.88, 4 Au 2.94, 4 Zr 3.02
W 0.5000 0.5000 0.2500  8 Au 2.87-2.88, 4 W 2.94
Zr 0.5000 0.5000 0.7500  4 Zr 2.94, 8 Au 3.02
Au 0.0000 0.0000 0.0125  4 W 2.87-2.88, 4 Au 2.94, 4 Zr 3.02

Output
electronic total energy	-6.95	eV per atom
formation energy from the elements	0.068	eV/atom
offset from the most stable computed form	63	meV per atom
total magnetization	0.23	μB per cell
DOS at the Fermi energy	4.04	states/eV per cell
space-group type	P4/mmm (123)

Entry 6:
Compound: ZrW2Au
Source: the Alexandria database
Functional: GGA-PBE
Structure: optimized geometry

Cell lengths 2.7795, 2.7795, 9.1858 Å; angles 90.00, 90.00, 90.00 degrees
Closest atoms and distances in Å follow each position.
Fractional coordinates of all 4 atoms:
W 0.0000 0.0000 0.9980  8 W 2.78-2.97, 4 Au 2.93
Au 0.5000 0.5000 0.7616  4 Au 2.78, 4 W 2.93, 4 Zr 3.11
W 0.5000 0.5000 0.2409  8 W 2.78-2.97, 4 Zr 3.08
Zr 0.0000 0.0000 0.4995  4 Zr 2.78, 4 W 3.08, 4 Au 3.11

Output
electronic total energy	-9.23	eV per atom
formation energy from the elements	0.201	eV/atom
offset from the most stable computed form	149	meV per atom
total magnetization	0.00	μB per cell
DOS at the Fermi energy	3.10	states/eV per cell
space-group type	P4mm (99)

Entry 7:
Compound: ZrWAu2
Source: the Alexandria database
Functional: GGA-PBE
Structure: optimized geometry

Cell lengths 2.8853, 2.8853, 8.8265 Å; angles 90.00, 90.00, 94.03 degrees
Closest atoms and distances in Å follow each position.
Fractional coordinates of all 4 atoms:
Au 0.0000 0.0000 0.0014  8 Au 2.89-3.11, 4 Zr 2.98-3.08
Au 0.5000 0.5000 0.2609  4 W 2.82-2.92, 8 Au 2.89-3.11
W 0.0000 0.0000 0.4898  4 Au 2.82-2.92, 4 W 2.89, 4 Zr 3.01-3.10
Zr 0.5000 0.5000 0.7478  4 Zr 2.89, 4 Au 2.98-3.08, 4 W 3.01-3.10

Output
electronic total energy	-6.99	eV per atom
formation energy from the elements	0.019	eV/atom
offset from the most stable computed form	14	meV per atom
total magnetization	0.00	μB per cell
DOS at the Fermi energy	3.20	states/eV per cell
space-group type	Cmm2 (35)

Entry 8:
Compound: ZrW2Au
Source: the Alexandria database
Functional: GGA-PBE
Structure: optimized geometry

Cell lengths 3.2995, 3.2995, 6.6400 Å; angles 90.00, 90.00, 90.00 degrees
Closest atoms and distances in Å follow each position.
Fractional coordinates of all 4 atoms:
W 0.0000 0.0000 0.0229  4 W 2.70, 4 Au 2.92
Zr 0.0000 0.0000 0.4893  5 W 2.91-3.10, 4 Au 2.94
W 0.5000 0.5000 0.2283  4 W 2.70, 4 Zr 2.91
Au 0.5000 0.5000 0.7596  5 W 2.92-3.11, 4 Zr 2.94

Output
electronic total energy	-9.38	eV per atom
formation energy from the elements	0.052	eV/atom
offset from the most stable computed form	0	meV per atom
total magnetization	0.00	μB per cell
DOS at the Fermi energy	4.60	states/eV per cell
space-group type	P4mm (99)

Entry 9:
Compound: ZrWAu2
Source: the Alexandria database
Functional: GGA-PBE
Structure: optimized geometry

Cell lengths 9.9606, 9.9606, 9.9606 Å; angles 16.89, 16.89, 16.89 degrees
Closest atoms and distances in Å follow each position.
Fractional coordinates of all 4 atoms:
W 0.2500 0.2500 0.2500  6 Au 2.90, 6 W 2.93
Zr 0.7500 0.7500 0.7500  6 Zr 2.93, 6 Au 3.06
Au 0.9967 0.9967 0.9967  3 W 2.90, 6 Au 2.93, 3 Zr 3.06
Au 0.5033 0.5033 0.5033  3 W 2.90, 6 Au 2.93, 3 Zr 3.06

Output
electronic total energy	-6.82	eV per atom
formation energy from the elements	0.195	eV/atom
offset from the most stable computed form	190	meV per atom
total magnetization	0.00	μB per cell
DOS at the Fermi energy	5.93	states/eV per cell
space-group type	R-3m (166)

Entry 10:
Compound: ZrW2Au
Source: the Alexandria database
Functional: GGA-PBE
Structure: optimized geometry

Cell lengths 3.8894, 3.8894, 10.5794 Å; angles 79.41, 79.41, 90.00 degrees
Closest atoms and distances in Å follow each position.
Fractional coordinates of all 8 atoms:
Zr 0.2500 0.7500 0.5000  4 Au 2.75, 4 W 2.89
W 0.8750 0.8650 0.7500  4 W 2.70-2.81, 2 Zr 2.89, 2 Au 2.91
Au 0.7500 0.2500 0.5000  4 Zr 2.75, 4 W 2.91
W 0.6150 0.1250 0.2500  4 W 2.70-2.81, 2 Zr 2.89, 2 Au 2.91
Zr 0.5000 0.5000 0.0000  4 Au 2.75, 4 W 2.89
Au 0.0000 0.0000 0.0000  4 Zr 2.75, 4 W 2.91
W 0.3750 0.3850 0.7500  4 W 2.70-2.81, 2 Zr 2.89, 2 Au 2.91
W 0.1350 0.6250 0.2500  4 W 2.70-2.81, 2 Zr 2.89, 2 Au 2.91

Output
electronic total energy	-8.84	eV per atom
formation energy from the elements	0.597	eV/atom
offset from the most stable computed form	545	meV per atom
total magnetization	0.00	μB per cell
DOS at the Fermi energy	3.96	states/eV per cell
space-group type	I-42d (122)

Entry 11:
Compound: ZrW2Au
Source: the Alexandria database
Functional: GGA-PBE
Structure: optimized geometry

Cell lengths 4.8643, 4.8643, 4.8643 Å; angles 127.07, 127.07, 78.14 degrees
Closest atoms and distances in Å follow each position.
Fractional coordinates of all 4 atoms:
Au 0.7500 0.2500 0.5000  4 Zr 2.87, 8 W 2.87-3.07
Zr 0.5000 0.5000 0.0000  4 Au 2.87, 8 W 2.87-3.07
W 0.2500 0.7500 0.5000  4 Zr 2.87, 4 W 2.87, 4 Au 3.07
W 0.0000 0.0000 0.0000  4 W 2.87, 4 Au 2.87, 4 Zr 3.07

Output
electronic total energy	-9.24	eV per atom
formation energy from the elements	0.198	eV/atom
offset from the most stable computed form	145	meV per atom
total magnetization	0.00	μB per cell
DOS at the Fermi energy	3.23	states/eV per cell
space-group type	I-4m2 (119)

Entry 12:
Compound: ZrW2Au
Source: the Alexandria database
Functional: GGA-PBE
Structure: optimized geometry

Cell lengths 5.3415, 5.3415, 2.7593 Å; angles 90.00, 90.00, 115.38 degrees
Closest atoms and distances in Å follow each position.
Fractional coordinates of all 4 atoms:
W 0.0000 0.0000 0.0000  4 W 2.76-2.86, 4 Au 3.01, 4 Zr 3.01
Au 0.0000 0.5000 0.5000  2 Au 2.76, 2 Zr 2.86, 8 W 3.01
W 0.5000 0.5000 0.0000  4 W 2.76-2.86, 4 Zr 3.01, 4 Au 3.01
Zr 0.5000 0.0000 0.5000  2 Zr 2.76, 2 Au 2.86, 8 W 3.01

Output
electronic total energy	-9.07	eV per atom
formation energy from the elements	0.358	eV/atom
offset from the most stable computed form	306	meV per atom
total magnetization	0.00	μB per cell
DOS at the Fermi energy	3.15	states/eV per cell
space-group type	Cmmm (65)